First-principles (GGA-PBE) data for a relaxed Pr2BiS crystal, as listed in the Alexandria database.

a b c (Å): 4.258 4.258 8.126
angles (deg): 74.81 74.81 60.00
Last column: magnetic moment on the atom in μB.
Atoms (fractional coordinates):
S  0.498  0.498  0.505  0.00
Pr  0.246  0.246  0.262  0.09
Bi  0.667  0.667  0.998  0.00
Pr  0.088  0.088  0.736  0.02

Properties
As for the density of states at the Fermi level: 3.08 states/eV/f.u. The value obtained for the total moment is 0.2 μB/cell. The value obtained for the final energy is -5.67 eV/atom. As for the crystal system: trigonal. Its raw formation energy is -1.2735 eV per atom.